Density functional theory data (PBE) for an optimized crystal structure of TlTc2Ru.

Values from the calculation:
Formation enthalpy at 0 K (eV per atom): 0.40
Relative energy among the computed polymorphs (meV per atom): 0.0
Density of states at the Fermi level (states/eV per cell): 6.2
Spin magnetization (μB/atom): 0.001
Space-group type: P4mm, No. 99

POSCAR file:
```
TlTc2Ru
1.0
2.8821 0.0000 0.0000
0.0000 2.8821 0.0000
0.0000 0.0000 7.8691
Tl Tc Ru
1 2 1
direct
0.0000 0.0000 0.0000
0.0000 0.0000 0.4944
0.5000 0.5000 0.7164
0.5000 0.5000 0.2745
```

***

Density functional theory data (PBE) for an optimized crystal structure of CaLaCu3.

Values from the calculation:
Formation enthalpy at 0 K (eV per atom): -0.19
Relative energy among the computed polymorphs (meV per atom): 0.0
Density of states at the Fermi level (states/eV per cell): 4.8
Spin magnetization (μB/atom): 0.000
Space-group type: Cmcm, No. 63

POSCAR file:
```
CaLaCu3
1.0
1.9864 -12.9907 0.0000
1.9864 12.9907 0.0000
0.0000 0.0000 4.2950
Ca La Cu
2 2 6
direct
0.2041 0.7959 0.7500
0.7959 0.2041 0.2500
0.0714 0.9286 0.2500
0.9286 0.0714 0.7500
0.3312 0.6688 0.7500
0.3809 0.6191 0.2500
0.4760 0.5240 0.2500
0.5240 0.4760 0.7500
0.6191 0.3809 0.7500
0.6688 0.3312 0.2500
```

***

Density functional theory data (PBE) for an optimized crystal structure of Pm5Ni2Pt.

Values from the calculation:
Formation enthalpy at 0 K (eV per atom): -0.45
Density of states at the Fermi level (states/eV per cell): 16.9
Spin magnetization (μB/atom): 0.000
Space-group type: I4/mcm, No. 140

POSCAR file:
```
Pm5Ni2Pt
1.0
-3.8427 3.8427 6.6793
3.8427 -3.8427 6.6793
3.8427 3.8427 -6.6793
Pm Ni Pt
10 4 2
direct
0.0000 0.0000 0.0000
0.0269 0.5269 0.8344
0.1925 0.0269 0.5000
0.3075 0.8075 0.8344
0.4731 0.3075 0.5000
0.5000 0.5000 0.0000
0.5269 0.6925 0.5000
0.6925 0.1925 0.1656
0.8075 0.9731 0.5000
0.9731 0.4731 0.1656
0.1212 0.3788 0.5000
0.3788 0.8788 0.2575
0.6212 0.1212 0.7425
0.8788 0.6212 0.5000
0.2500 0.2500 0.0000
0.7500 0.7500 0.0000
```

***

Density functional theory data (PBE) for an optimized crystal structure of NaSrCa2Cu.

Values from the calculation:
Formation enthalpy at 0 K (eV per atom): 0.08
Relative energy among the computed polymorphs (meV per atom): 81.0
Density of states at the Fermi level (states/eV per cell): 3.7
Spin magnetization (μB/atom): 0.000
Space-group type: P4/mmm, No. 123

POSCAR file:
```
NaSrCa2Cu
1.0
5.7110 0.0000 0.0000
0.0000 5.7110 0.0000
0.0000 0.0000 5.8021
Na Sr Ca Cu
1 1 2 1
direct
0.0000 0.0000 0.0000
0.5000 0.5000 0.0000
0.0000 0.5000 0.5000
0.5000 0.0000 0.5000
0.0000 0.0000 0.5000
```

***

Density functional theory data (PBE) for an optimized crystal structure of AcEr2Tl9.

Values from the calculation:
Formation enthalpy at 0 K (eV per atom): -0.23
Density of states at the Fermi level (states/eV per cell): 3.4
Spin magnetization (μB/atom): 0.000
Space-group type: P4/mmm, No. 123

POSCAR file:
```
AcEr2Tl9
1.0
4.8530 0.0000 0.0000
0.0000 4.8530 0.0000
0.0000 0.0000 14.4599
Ac Er Tl
1 2 9
direct
0.0000 0.0000 0.0000
0.0000 0.0000 0.3412
0.0000 0.0000 0.6588
0.0000 0.5000 0.1785
0.0000 0.5000 0.5000
0.0000 0.5000 0.8215
0.5000 0.0000 0.1785
0.5000 0.0000 0.5000
0.5000 0.0000 0.8215
0.5000 0.5000 0.0000
0.5000 0.5000 0.3374
0.5000 0.5000 0.6626
```

***

Density functional theory data (PBE) for an optimized crystal structure of CaPuZnRu.

Values from the calculation:
Formation enthalpy at 0 K (eV per atom): 0.05
Density of states at the Fermi level (states/eV per cell): 10.4
Spin magnetization (μB/atom): 1.294
Space-group type: F-43m, No. 216

POSCAR file:
```
CaPuZnRu
1.0
0.0000 3.4811 3.4811
3.4811 0.0000 3.4811
3.4811 3.4811 0.0000
Ca Pu Zn Ru
1 1 1 1
direct
0.0000 0.0000 0.0000
0.5000 0.5000 0.5000
0.7500 0.7500 0.7500
0.2500 0.2500 0.2500
```

***

Density functional theory data (PBE) for an optimized crystal structure of MnGe2Au.

Values from the calculation:
Formation enthalpy at 0 K (eV per atom): 0.25
Relative energy among the computed polymorphs (meV per atom): 125.2
Density of states at the Fermi level (states/eV per cell): 3.6
Spin magnetization (μB/atom): 0.942
Space-group type: Fm-3m, No. 225

POSCAR file:
```
MnGe2Au
1.0
0.0000 3.2692 3.2692
3.2692 0.0000 3.2692
3.2692 3.2692 0.0000
Mn Ge Au
1 2 1
direct
0.0000 0.0000 0.0000
0.2500 0.2500 0.2500
0.7500 0.7500 0.7500
0.5000 0.5000 0.5000
```

***

Density functional theory data (PBE) for an optimized crystal structure of CdAs2P.

Values from the calculation:
Formation enthalpy at 0 K (eV per atom): 0.18
Relative energy among the computed polymorphs (meV per atom): 70.0
Density of states at the Fermi level (states/eV per cell): 1.1
Spin magnetization (μB/atom): 0.000
Space-group type: P2/m, No. 10

POSCAR file:
```
CdAs2P
1.0
2.7640 0.0000 0.0000
0.0000 3.7501 0.0000
-1.2095 0.0000 7.7860
Cd As P
1 2 1
direct
0.0000 0.0000 0.0000
0.1043 0.5000 0.7231
0.8957 0.5000 0.2769
0.0000 0.0000 0.5000
```

***

Density functional theory data (PBE) for an optimized crystal structure of Ac8Os3CBr4.

Values from the calculation:
Density of states at the Fermi level (states/eV per cell): 7.6
Formation energy from raw total energies (eV per atom): -0.7157
Spin magnetization (μB/atom): 0.000
Space-group type: R-3m, No. 166

POSCAR file:
```
Ac8Os3CBr4
1.0
4.2914 2.4777 8.1763
-4.2914 2.4777 8.1763
0.0000 -4.9553 8.1763
Ac Os C Br
8 3 1 4
direct
0.2347 0.2347 0.2347
0.2385 0.7232 0.7232
0.2768 0.2768 0.7615
0.2768 0.7615 0.2768
0.7232 0.2385 0.7232
0.7232 0.7232 0.2385
0.7615 0.2768 0.2768
0.7653 0.7653 0.7653
0.0000 0.0000 0.5000
0.0000 0.5000 0.0000
0.5000 0.0000 0.0000
0.5000 0.5000 0.5000
0.0000 0.0000 0.0000
0.0000 0.5000 0.5000
0.5000 0.0000 0.5000
0.5000 0.5000 0.0000
```

***

Density functional theory data (PBE) for an optimized crystal structure of Tl2CuSbMo.

Values from the calculation:
Density of states at the Fermi level (states/eV per cell): 3.9
Formation energy from raw total energies (eV per atom): 0.8220
Spin magnetization (μB/atom): 0.236
Space-group type: P4/mmm, No. 123

POSCAR file:
```
Tl2CuSbMo
1.0
5.4578 0.0000 0.0000
0.0000 5.4578 0.0000
0.0000 0.0000 5.1620
Tl Cu Sb Mo
2 1 1 1
direct
0.0000 0.5000 0.0000
0.5000 0.0000 0.0000
0.0000 0.0000 0.5000
0.5000 0.5000 0.5000
0.5000 0.5000 0.0000
```

***

Density functional theory data (PBE) for an optimized crystal structure of BC3.

Values from the calculation:
Formation enthalpy at 0 K (eV per atom): 0.27
Relative energy among the computed polymorphs (meV per atom): 27.6
Density of states at the Fermi level (states/eV per cell): 2.4
Spin magnetization (μB/atom): 0.000
Space-group type: Cm, No. 8

POSCAR file:
```
BC3
1.0
4.1935 -1.2839 0.0000
4.1935 1.2839 0.0000
-3.4704 0.0000 6.9194
B C
3 9
direct
0.0000 0.0000 0.0000
0.5059 0.5059 0.5988
0.7992 0.7992 0.7316
0.0022 0.0022 0.4615
0.1663 0.1663 0.4267
0.1662 0.1662 0.9431
0.3277 0.3277 0.6279
0.3299 0.3299 0.1528
0.4947 0.4947 0.1178
0.6656 0.6656 0.3079
0.6827 0.6827 0.8431
0.8310 0.8310 0.2710
```

***

Density functional theory data (PBE) for an optimized crystal structure of BaTl2Ag.

Values from the calculation:
Formation enthalpy at 0 K (eV per atom): -0.23
Relative energy among the computed polymorphs (meV per atom): 29.2
Density of states at the Fermi level (states/eV per cell): 2.2
Spin magnetization (μB/atom): 0.000
Space-group type: Cm, No. 8

POSCAR file:
```
BaTl2Ag
1.0
4.3345 -2.5054 0.0000
4.3345 2.5054 0.0000
-2.8959 0.0000 6.0602
Ba Tl Ag
1 2 1
direct
0.0000 0.0000 0.0000
0.2166 0.2166 0.6472
0.4547 0.4547 0.3642
0.8080 0.8080 0.4235
```